Entry 1:
Here is an optimized crystal structure of ZnCd from Alexandria via LeMat-Bulk. Energies are from PBE.

Values from the calculation:
formation enthalpy at 0 K: 427 meV per atom
magnetization: 0.00 μB per cell
D(E_F): 1.13 states/eV/cell

Lattice parameters (Å, degrees): 4.407 4.407 4.407 60.00 60.00 60.00
Sites, in units of the cell vectors:
1 Cd 0.000 0.000 0.000
2 Zn 0.250 0.250 0.250

***

Entry 2:
Here is an optimized crystal structure of DyGaNiPt3 from Alexandria via LeMat-Bulk. Energies are from PBE.

Values from the calculation:
formation enthalpy at 0 K: -595 meV per atom
magnetization: 0.00 μB per cell
D(E_F): 6.17 states/eV/cell

Lattice parameters (Å, degrees): 5.675 5.657 7.008 113.80 90.00 90.00
Sites, in units of the cell vectors:
1 Dy 0.750 0.319 0.638
2 Dy 0.250 0.681 0.362
3 Ga 0.250 0.371 0.741
4 Ga 0.750 0.629 0.259
5 Ni 0.250 0.876 0.753
6 Ni 0.750 0.124 0.247
7 Pt 0.250 0.176 0.351
8 Pt 0.000 0.248 0.000
9 Pt 0.500 0.752 0.000
10 Pt 0.500 0.248 0.000
11 Pt 0.000 0.752 0.000
12 Pt 0.750 0.824 0.649

***

Entry 3:
Here is an optimized crystal structure of PRhI2N from Alexandria via LeMat-Bulk. Energies are from PBE.

Values from the calculation:
relative energy among the computed polymorphs: 49 meV/atom
magnetization: 0.00 μB per cell
D(E_F): 3.31 states/eV/cell

Lattice parameters (Å, degrees): 5.499 5.499 3.302 90.00 90.00 90.00
Sites, in units of the cell vectors:
1 I 0.000 0.500 0.000
2 I 0.500 0.000 0.000
3 P 0.000 0.000 0.000
4 Rh 0.500 0.500 0.500
5 N 0.000 0.000 0.500

***

Entry 4:
Here is an optimized crystal structure of KS2F from Alexandria via LeMat-Bulk. Energies are from PBE.

Values from the calculation:
relative energy among the computed polymorphs: 1255 meV/atom
magnetization: 0.00 μB per cell
D(E_F): 2.83 states/eV/cell

Lattice parameters (Å, degrees): 8.927 8.927 8.927 21.06 21.06 21.06
Sites, in units of the cell vectors:
1 K 0.500 0.500 0.500
2 S 0.924 0.924 0.924
3 S 0.076 0.076 0.076
4 F 0.000 0.000 0.000

***

Entry 5:
Here is an optimized crystal structure of Pm3TmC2 from Alexandria via LeMat-Bulk. Energies are from PBE.

Values from the calculation:
formation enthalpy at 0 K: -180 meV per atom
magnetization: 0.75 μB per cell
D(E_F): 8.40 states/eV/cell

Lattice parameters (Å, degrees): 3.636 8.483 9.925 89.43 79.45 77.63
Last column: magnetic moment on the atom in μB.
Sites, in units of the cell vectors:
1 Pm 0.059 0.084 0.797  0.02
2 Pm 0.941 0.916 0.203  0.02
3 Pm 0.689 0.669 0.953  0.04
4 Pm 0.311 0.331 0.047  0.04
5 Pm 0.810 0.828 0.551  0.04
6 Pm 0.190 0.172 0.449  0.04
7 Tm 0.441 0.413 0.704  0.08
8 Tm 0.559 0.587 0.296  0.08
9 C 0.876 0.381 0.867  0.00
10 C 0.124 0.619 0.133  0.00
11 C 0.622 0.132 0.624  0.00
12 C 0.378 0.868 0.376  0.00

***

Entry 6:
Here is an optimized crystal structure of ZnAgHPd2 from Alexandria via LeMat-Bulk. Energies are from PBE.

Values from the calculation:
relative energy among the computed polymorphs: 0 meV/atom
magnetization: 0.00 μB per cell
D(E_F): 0.61 states/eV/cell

Lattice parameters (Å, degrees): 4.022 4.022 4.019 90.00 90.00 90.00
Sites, in units of the cell vectors:
1 H 0.000 0.000 0.000
2 Zn 0.500 0.500 0.500
3 Pd 0.000 0.500 0.000
4 Pd 0.500 0.000 0.000
5 Ag 0.000 0.000 0.500

***

Entry 7:
Here is an optimized crystal structure of Sc2GeC from Alexandria via LeMat-Bulk. Energies are from PBE.

Values from the calculation:
formation enthalpy at 0 K: -564 meV per atom
magnetization: 0.00 μB per cell
D(E_F): 1.59 states/eV/cell

Lattice parameters (Å, degrees): 3.293 3.293 7.176 90.01 90.00 120.00
Sites, in units of the cell vectors:
1 Sc 0.667 0.833 0.826
2 Sc 0.333 0.167 0.174
3 Ge 0.000 0.500 0.500
4 C 0.000 0.500 0.000

***

Entry 8:
Here is an optimized crystal structure of K2PmSiO4 from Alexandria via LeMat-Bulk. Energies are from PBE.

Values from the calculation:
magnetization: 0.00 μB per cell
total energy: -0.4507 Ry per atom
D(E_F): 4.01 states/eV/cell

Lattice parameters (Å, degrees): 5.796 6.886 11.946 84.14 75.96 65.11
Sites, in units of the cell vectors:
1 K 0.187 0.000 0.626
2 K 0.813 0.000 0.374
3 K 0.563 0.500 0.874
4 K 0.937 0.500 0.126
5 Pm 0.750 0.500 0.500
6 Pm 0.000 0.000 0.000
7 Si 0.250 0.500 0.500
8 Si 0.500 0.000 0.000
9 O 0.363 0.840 0.072
10 O 0.276 0.160 0.928
11 O 0.797 0.840 0.928
12 O 0.564 0.160 0.072
13 O 0.387 0.660 0.428
14 O 0.474 0.340 0.572
15 O 0.953 0.660 0.572
16 O 0.186 0.340 0.428